1.
A crystal of YZrIr relaxed with PBEsol, computed with SCAN.

Output
As for the total energy: -528.8 eV per cell. The value obtained for the size of the total moment is 0.00 Bohr magnetons per cell. The value obtained for the formation enthalpy at 0 K is -0.852 eV per atom. The calculation puts the density of states at the Fermi level at 0.81 states/eV per atom.

Cell: 11.168 3.861 7.483 Å, 90.00 124.96 90.00°
Space group C2/m (No. 12)
Unique sites:
1 Y 0.081 0.000 0.353 [4 per cell]
2 Zr 0.173 0.500 0.076 [4 per cell]
3 Ir 0.145 0.500 0.692 [4 per cell]


2.
A crystal of LaAgPt4 relaxed with PBEsol, computed with SCAN.

Output
As for the total energy: -1440.8 eV per cell. The value obtained for the size of the total moment is 0.00 Bohr magnetons per cell. The value obtained for the formation enthalpy at 0 K is -0.827 eV per atom. The calculation puts the density of states at the Fermi level at 0.80 states/eV per atom.

Cell: 7.559 7.559 7.559 Å, 90.00 90.00 90.00°
Space group F-43m (No. 216)
Unique sites:
1 La 0.000 0.000 0.000 [4 per cell]
2 Ag 0.250 0.250 0.750 [4 per cell]
3 Pt 0.124 0.124 0.376 [16 per cell]